DFT (PBE-GGA) results for crystalline Ba3Zr2TiO9 at its relaxed geometry.

Calculated values
DOS at the Fermi energy, states/eV per atom: 0.0000
Total DFT energy (no corrections), eV per atom: -8.190
ΔE_f (raw), eV/atom: -3.16
Symmetry: P-3m1, No. 164

abc: 5.9075 5.9075 7.2419
angles: 90.00 90.00 120.00
Positions (direct):
Ba: 0.3333 0.6667 0.6640
Ba: 0.0000 0.0000 0.0000
Ba: 0.6667 0.3333 0.3360
Zr: 0.3333 0.6667 0.1730
Zr: 0.6667 0.3333 0.8270
O: 0.0000 0.5000 0.0000
O: 0.8389 0.6779 0.6594
O: 0.1611 0.8389 0.3406
O: 0.6779 0.8389 0.3406
O: 0.3221 0.1611 0.6594
O: 0.5000 0.0000 0.0000
O: 0.1611 0.3221 0.3406
O: 0.8389 0.1611 0.6594
O: 0.5000 0.5000 0.0000
Ti: 0.0000 0.0000 0.5000